Record 1
PrZrCuRh | PBE | relaxed

Properties
ΔE_f	-0.28	eV per atom
space group	F-43m, No. 216
DFT total energy	-0.476	Ry per atom
crystal system	cubic
N(E_F)	3.747	states/eV/cell

Unit cell a=4.8714 b=4.8714 c=4.8714 alpha=60.00 beta=60.00 gamma=60.00
With the nearest neighbours (Å) after each atom.
Sites, in units of the cell vectors:
Rh  0.7500  0.7500  0.7500  4 Pr 2.98, 4 Zr 2.98
Cu  0.2500  0.2500  0.2500  4 Zr 2.98, 4 Pr 2.98
Pr  0.0000  0.0000  0.0000  4 Rh 2.98, 4 Cu 2.98
Zr  0.5000  0.5000  0.5000  4 Cu 2.98, 4 Rh 2.98

---

Record 2
PrCu4Ru | PBE | relaxed

Properties
ΔE_f	0.04	eV per atom
space group	F-43m, No. 216
DFT total energy	-0.370	Ry per atom
crystal system	cubic
N(E_F)	5.686	states/eV/cell

Unit cell a=5.0620 b=5.0620 c=5.0620 alpha=60.00 beta=60.00 gamma=60.00
With the nearest neighbours (Å) after each atom.
Sites, in units of the cell vectors:
Cu  0.6232  0.6232  0.1305  6 Cu 2.49-2.57
Cu  0.6232  0.1305  0.6232  6 Cu 2.49-2.57
Ru  0.2500  0.2500  0.2500  12 Cu 2.96, 4 Pr 3.10
Cu  0.1305  0.6232  0.6232  6 Cu 2.49-2.57
Pr  0.0000  0.0000  0.0000  12 Cu 2.97, 4 Ru 3.10
Cu  0.6232  0.6232  0.6232  6 Cu 2.49-2.57

---

Record 3
Pr2Cu2Ru | PBE | relaxed

Properties
ΔE_f	-0.13	eV per atom
space group	C2/m, No. 12
DFT total energy	-0.407	Ry per atom
crystal system	monoclinic
N(E_F)	7.369	states/eV/cell

Unit cell a=4.1526 b=5.7674 c=10.2368 alpha=85.19 beta=78.30 gamma=68.90
With the nearest neighbours (Å) after each atom.
Sites, in units of the cell vectors:
Cu  0.0416  0.3344  0.5824  1 Cu 2.42, 2 Ru 2.51
Cu  0.6175  0.8742  0.8908  1 Ru 2.52, 1 Cu 2.59
Ru  0.4274  0.8365  0.3087  3 Cu 2.51-2.52
Pr  0.0921  0.6996  0.1162  2 Ru 2.93, 6 Cu 3.02-3.20
Cu  0.3825  0.1258  0.1092  1 Ru 2.52, 1 Cu 2.59
Pr  0.9079  0.3004  0.8838  2 Ru 2.93, 6 Cu 3.02-3.20
Ru  0.5726  0.1635  0.6913  3 Cu 2.51-2.52
Cu  0.9584  0.6656  0.4176  1 Cu 2.42, 2 Ru 2.51
Pr  0.7011  0.2378  0.3600  4 Ru 3.04-3.34, 7 Cu 3.10-3.32
Pr  0.2989  0.7622  0.6400  4 Ru 3.04-3.34, 7 Cu 3.10-3.32

---

Record 4
Pr2CuRu2 | PBE | relaxed

Properties
ΔE_f	-0.08	eV per atom
space group	C2/c, No. 15
DFT total energy	-0.479	Ry per atom
crystal system	monoclinic
N(E_F)	7.885	states/eV/cell

Unit cell a=5.6632 b=5.3550 c=8.5376 alpha=101.33 beta=90.00 gamma=121.92
With the nearest neighbours (Å) after each atom.
Sites, in units of the cell vectors:
Pr  0.4857  0.6978  0.8466  5 Ru 2.94-3.12, 2 Cu 3.09-3.29
Cu  0.1281  0.0000  0.7500  4 Ru 2.64-2.68
Ru  0.2628  0.2659  0.5063  2 Ru 2.55-2.81, 2 Cu 2.64-2.68
Ru  0.0031  0.2659  0.0063  2 Ru 2.55-2.81, 2 Cu 2.64-2.68
Pr  0.5143  0.3022  0.1534  5 Ru 2.94-3.12, 2 Cu 3.09-3.29
Cu  0.8719  0.0000  0.2500  4 Ru 2.64-2.68
Ru  0.9969  0.7341  0.9937  2 Ru 2.55-2.81, 2 Cu 2.64-2.68
Ru  0.7372  0.7341  0.4937  2 Ru 2.55-2.81, 2 Cu 2.64-2.68
Pr  0.2121  0.6978  0.3466  5 Ru 2.94-3.12, 2 Cu 3.09-3.29
Pr  0.7879  0.3022  0.6534  5 Ru 2.94-3.12, 2 Cu 3.09-3.29

---

Record 5
Pr5Cu5Ru2 | PBE | relaxed

Properties
ΔE_f	-0.11	eV per atom
space group	C2/m, No. 12
DFT total energy	-0.394	Ry per atom
crystal system	monoclinic
N(E_F)	8.607	states/eV/cell

Unit cell a=4.2229 b=7.7833 c=8.8208 alpha=85.98 beta=76.15 gamma=74.26
With the nearest neighbours (Å) after each atom.
Sites, in units of the cell vectors:
Cu  0.0000  0.0000  0.0000  2 Cu 2.58
Cu  0.9399  0.2875  0.8326  2 Ru 2.54, 1 Cu 2.58
Pr  0.6244  0.0781  0.6730  1 Ru 2.92, 5 Cu 2.97-3.09
Pr  0.3050  0.3092  0.0808  3 Ru 2.99-3.09, 7 Cu 3.00-3.21
Ru  0.6060  0.5439  0.2441  3 Cu 2.54
Pr  0.6950  0.6908  0.9192  3 Ru 2.99-3.09, 7 Cu 3.00-3.21
Cu  0.2831  0.7767  0.6571  1 Ru 2.54
Pr  0.3756  0.9219  0.3270  1 Ru 2.92, 5 Cu 2.97-3.09
Ru  0.3940  0.4561  0.7559  3 Cu 2.54
Cu  0.7169  0.2233  0.3429  1 Ru 2.54
Pr  0.0000  0.5000  0.5000  4 Ru 3.06, 6 Cu 3.26
Cu  0.0601  0.7124  0.1674  2 Ru 2.54, 1 Cu 2.58

---

Record 6
Pr6Cu2Ru | PBE | relaxed

Properties
ΔE_f	-0.08	eV per atom
space group	P2_1/c, No. 14
DFT total energy	-0.382	Ry per atom
crystal system	monoclinic
N(E_F)	19.748	states/eV/cell

Unit cell a=6.7070 b=7.5629 c=10.6072 alpha=90.00 beta=91.06 gamma=90.00
With the nearest neighbours (Å) after each atom.
Sites, in units of the cell vectors:
Pr  0.3519  0.5368  0.7504  1 Ru 2.82, 2 Cu 3.01-3.02
Pr  0.6481  0.4632  0.2496  1 Ru 2.82, 2 Cu 3.01-3.02
Pr  0.8262  0.6779  0.5713  1 Ru 2.81, 2 Cu 3.00-3.04
Pr  0.3262  0.8221  0.0713  1 Ru 2.81, 2 Cu 3.00-3.04
Pr  0.3400  0.8156  0.4303  1 Ru 2.78, 2 Cu 2.98-3.10
Pr  0.8400  0.6844  0.9303  1 Ru 2.78, 2 Cu 2.98-3.10
Pr  0.8519  0.9632  0.2504  1 Ru 2.82, 2 Cu 3.01-3.02
Pr  0.1738  0.3221  0.4287  1 Ru 2.81, 2 Cu 3.00-3.04
Pr  0.1481  0.0368  0.7496  1 Ru 2.82, 2 Cu 3.01-3.02
Cu  0.0646  0.6130  0.2420  6 Pr 2.98-3.10
Ru  0.0000  0.0000  0.5000  6 Pr 2.78-2.82
Pr  0.1600  0.3156  0.0697  1 Ru 2.78, 2 Cu 2.98-3.10
Cu  0.9354  0.3870  0.7580  6 Pr 2.98-3.10
Pr  0.6600  0.1844  0.5697  1 Ru 2.78, 2 Cu 2.98-3.10
Cu  0.5646  0.8870  0.7420  6 Pr 2.98-3.10
Ru  0.5000  0.5000  0.0000  6 Pr 2.78-2.82
Pr  0.6738  0.1779  0.9287  1 Ru 2.81, 2 Cu 3.00-3.04
Cu  0.4354  0.1130  0.2580  6 Pr 2.98-3.10

---

Record 7
Pr8CuRu2 | PBE | relaxed

Properties
ΔE_f	-0.03	eV per atom
space group	Cm, No. 8
DFT total energy	-0.409	Ry per atom
crystal system	monoclinic
N(E_F)	11.286	states/eV/cell

Unit cell a=6.4290 b=7.7830 c=7.7830 alpha=114.14 beta=100.80 gamma=100.80
With the nearest neighbours (Å) after each atom.
Sites, in units of the cell vectors:
Ru  0.4802  0.3162  0.6932  6 Pr 2.82-3.12
Pr  0.5914  0.0853  0.3530  2 Ru 2.84-2.88, 1 Cu 3.16
Pr  0.5914  0.3530  0.0853  2 Ru 2.84-2.88, 1 Cu 3.16
Cu  0.1812  0.0053  0.0053  8 Pr 3.01-3.23
Ru  0.4802  0.6932  0.3162  6 Pr 2.82-3.12
Pr  0.9855  0.2085  0.7887  1 Cu 3.01
Pr  0.9855  0.7887  0.2085  1 Cu 3.01
Pr  0.1808  0.3638  0.3638  1 Cu 3.04, 2 Ru 3.10
Pr  0.3692  0.6539  0.9214  2 Ru 2.82-2.89, 1 Cu 3.07
Pr  0.7849  0.6446  0.6446  2 Ru 3.12, 1 Cu 3.23
Pr  0.3692  0.9214  0.6539  2 Ru 2.82-2.89, 1 Cu 3.07

---

Record 8
Pr8Cu2Ru | PBE | relaxed

Properties
ΔE_f	-0.06	eV per atom
space group	C2/m, No. 12
DFT total energy	-0.377	Ry per atom
crystal system	monoclinic
N(E_F)	12.150	states/eV/cell

Unit cell a=5.2201 b=6.9898 c=9.3400 alpha=102.10 beta=106.23 gamma=90.00
With the nearest neighbours (Å) after each atom.
Sites, in units of the cell vectors:
Cu  0.1902  0.7372  0.3805  5 Pr 2.87-3.18
Pr  0.5883  0.4409  0.1767  1 Ru 3.14, 3 Pr 3.44-3.48
Pr  0.0316  0.7904  0.0633  1 Cu 2.95, 2 Ru 3.11
Pr  0.3364  0.0276  0.6729  3 Cu 2.94-3.18, 1 Ru 2.98
Pr  0.9684  0.2096  0.9367  1 Cu 2.95, 2 Ru 3.11
Pr  0.2003  0.3326  0.4006  1 Cu 2.87
Cu  0.8098  0.2628  0.6195  5 Pr 2.87-3.18
Pr  0.4117  0.5591  0.8233  1 Ru 3.14, 3 Pr 3.44-3.48
Ru  0.5000  0.0000  0.0000  8 Pr 2.98-3.14
Pr  0.6636  0.9724  0.3271  3 Cu 2.94-3.18, 1 Ru 2.98
Pr  0.7997  0.6674  0.5994  1 Cu 2.87

---

Record 9
Pr4CuRu2 | PBE | relaxed

Properties
ΔE_f	-0.10	eV per atom
space group	P1, No. 1
DFT total energy	-0.446	Ry per atom
crystal system	triclinic
N(E_F)	10.540	states/eV/cell

Unit cell a=7.2698 b=7.4838 c=7.5614 alpha=108.47 beta=104.63 gamma=102.91
With the nearest neighbours (Å) after each atom.
Sites, in units of the cell vectors:
Pr  0.7196  0.9344  0.5730  1 Cu 2.88, 4 Ru 2.88-3.21
Ru  0.1223  0.2215  0.6818  2 Cu 2.69-2.89, 4 Pr 2.88-2.95, 1 Ru 2.98
Pr  0.2864  0.5452  0.1739  2 Ru 2.79-2.99, 1 Cu 2.92
Cu  0.1898  0.8451  0.5273  1 Ru 2.89, 4 Pr 2.90-2.95
Pr  0.8234  0.6592  0.1771  1 Cu 2.91, 3 Ru 2.97-2.99
Ru  0.7971  0.3499  0.8023  4 Pr 2.71-2.98, 1 Cu 2.86, 1 Ru 2.98
Pr  0.3396  0.1038  0.3376  2 Ru 2.82-2.93, 1 Cu 2.93
Pr  0.8804  0.2307  0.3204  3 Ru 2.88-3.01, 1 Cu 3.00
Pr  0.4646  0.1507  0.9099  1 Cu 2.90, 3 Ru 2.91-3.08
Cu  0.0163  0.1329  0.9682  2 Ru 2.69-2.86, 3 Pr 2.88-3.00
Pr  0.4365  0.5547  0.7144  3 Ru 2.88-2.98
Ru  0.5148  0.8604  0.1154  6 Pr 2.79-3.08
Ru  0.6395  0.4820  0.4193  7 Pr 2.90-3.07
Pr  0.0196  0.6793  0.7793  2 Ru 2.71-3.01, 1 Cu 2.95

---

Record 10
Pr4CuRu3 | PBE | relaxed

Properties
ΔE_f	-0.12	eV per atom
space group	Pmm2, No. 25
DFT total energy	-0.477	Ry per atom
crystal system	orthorhombic
N(E_F)	6.952	states/eV/cell

Unit cell a=4.2991 b=4.3551 c=10.6000 alpha=90.00 beta=90.00 gamma=90.00
With the nearest neighbours (Å) after each atom.
Sites, in units of the cell vectors:
Cu  0.5000  0.5000  0.0638  2 Ru 2.56
Ru  0.0000  0.5000  0.5507  2 Ru 2.43
Pr  0.0000  0.5000  0.8563  2 Cu 3.08, 5 Ru 3.17-3.24
Pr  0.0000  0.0000  0.1356  3 Ru 3.02-3.32, 4 Cu 3.15
Ru  0.0000  0.0000  0.4488  2 Ru 2.43
Pr  0.5000  0.0000  0.6517  7 Ru 3.02-3.24
Pr  0.5000  0.5000  0.3570  6 Ru 2.97-3.21, 1 Cu 3.11
Ru  0.5000  0.0000  0.9361  2 Cu 2.56

---

Record 11
Pr5CuRu2 | PBE | relaxed

Properties
ΔE_f	-0.15	eV per atom
space group	I4/mcm, No. 140
DFT total energy	-0.439	Ry per atom
crystal system	tetragonal
N(E_F)	15.395	states/eV/cell

Unit cell a=7.9494 b=7.9494 c=8.8276 alpha=116.76 beta=116.76 gamma=90.00
With the nearest neighbours (Å) after each atom.
Sites, in units of the cell vectors:
Ru  0.6384  0.1384  0.0000  8 Pr 2.92-3.08, 1 Ru 3.11
Pr  0.0000  0.0000  0.0000  4 Ru 3.08, 2 Cu 3.40
Cu  0.7500  0.7500  0.5000  10 Pr 3.35-3.40
Pr  0.0252  0.5252  0.7261  3 Ru 2.92-3.04
Pr  0.2991  0.7991  0.2739  3 Ru 2.92-3.04
Pr  0.2009  0.0252  0.7261  3 Ru 2.92-3.04
Cu  0.2500  0.2500  0.5000  10 Pr 3.35-3.40
Pr  0.5000  0.5000  0.0000  4 Ru 3.08, 2 Cu 3.40
Ru  0.8616  0.6384  0.0000  8 Pr 2.92-3.08, 1 Ru 3.11
Pr  0.5252  0.7009  0.7261  3 Ru 2.92-3.04
Pr  0.7991  0.9748  0.2739  3 Ru 2.92-3.04
Ru  0.1384  0.3616  0.0000  8 Pr 2.92-3.08, 1 Ru 3.11
Ru  0.3616  0.8616  0.0000  8 Pr 2.92-3.08, 1 Ru 3.11
Pr  0.9748  0.4748  0.2739  3 Ru 2.92-3.04
Pr  0.4748  0.2991  0.2739  3 Ru 2.92-3.04
Pr  0.7009  0.2009  0.7261  3 Ru 2.92-3.04

---

So what do the calculations give for volume? Going down the list: 81.7 91.7 224.0 213.8 270.9 538.0 333.6 319.3 356.3 198.5 430.1 Å³ per cell.